[1]
This record from Alexandria via LeMat-Bulk describes Cu2RuCl after structural relaxation. The functional is GGA-PBE.

Calculated values
- volume (Å³/atom) = 13.96
- final energy (eV per cell) = -16.947
- ΔE_f (raw) (eV/atom) = 0.592
- SG = Pmmm (47)

Cell and atoms, written as CIF:
```
data_Cu2RuCl
_chemical_formula_sum 'Cu2 Ru1 Cl1'
_symmetry_space_group_name_H-M 'P 1'
_symmetry_Int_Tables_number 1
_cell_length_a 2.8364
_cell_length_b 4.2881
_cell_length_c 4.5910
_cell_angle_alpha 90.00
_cell_angle_beta 90.00
_cell_angle_gamma 90.00
loop_
_symmetry_equiv_pos_as_xyz
'x,y,z'
loop_
_atom_site_label
_atom_site_type_symbol
_atom_site_fract_x
_atom_site_fract_y
_atom_site_fract_z
Ru1 Ru 0.5000 0.0000 0.5000
Cu1 Cu 0.0000 0.0000 0.0000
Cu2 Cu 0.5000 0.5000 0.0000
Cl1 Cl 0.0000 0.5000 0.5000
```

***

[2]
This record from Alexandria via LeMat-Bulk describes CaScMnIn2 after structural relaxation. The functional is GGA-PBE.

Calculated values
- volume (Å³/atom) = 29.50
- formation enthalpy at 0 K (eV/f.u.) = 5.00
- final energy (eV per cell) = -17.981
- SG = P4/mmm (123)

Cell and atoms, written as CIF:
```
data_CaScMnIn2
_chemical_formula_sum 'Ca1 Sc1 Mn1 In2'
_symmetry_space_group_name_H-M 'P 1'
_symmetry_Int_Tables_number 1
_cell_length_a 5.5458
_cell_length_b 4.7967
_cell_length_c 5.5458
_cell_angle_alpha 90.00
_cell_angle_beta 90.00
_cell_angle_gamma 90.00
loop_
_symmetry_equiv_pos_as_xyz
'x,y,z'
loop_
_atom_site_label
_atom_site_type_symbol
_atom_site_fract_x
_atom_site_fract_y
_atom_site_fract_z
Sc1 Sc 0.5000 0.5000 0.5000
Ca1 Ca 0.0000 0.0000 0.0000
Mn1 Mn 0.0000 0.5000 0.0000
In1 In 0.0000 0.0000 0.5000
In2 In 0.5000 0.0000 0.0000
```